Entry 1:
# PBE EuTmPd2, relaxed
data_EuTmPd2
_chemical_formula_sum 'Eu4 Tm4 Pd8'
_space_group_name_H-M_alt 'F m -3 m'
_space_group_IT_number 225
_space_group_name_Hall '-F 4 2 3'
_cell_length_a 7.0678
_cell_length_b 7.0678
_cell_length_c 7.0678
_cell_angle_alpha 90.00
_cell_angle_beta 90.00
_cell_angle_gamma 90.00
loop_
_atom_site_label
_atom_site_type_symbol
_atom_site_fract_x
_atom_site_fract_y
_atom_site_fract_z
Eu1 Eu 0.0000 0.0000 0.0000
Tm1 Tm 0.0000 0.0000 0.5000
Pd1 Pd 0.2500 0.2500 0.2500
# ΔE_f ... -290.4 kJ/mol of formula units
# Final energy ... -7.035 eV per atom

---

Entry 2:
# PBE EuTmPd2, relaxed
data_EuTmPd2
_chemical_formula_sum 'Eu3 Tm3 Pd6'
_space_group_name_H-M_alt 'R -3 m'
_space_group_IT_number 166
_space_group_name_Hall '-R 3 2"'
_cell_length_a 4.1608
_cell_length_b 4.1608
_cell_length_c 20.1276
_cell_angle_alpha 90.00
_cell_angle_beta 90.00
_cell_angle_gamma 120.00
loop_
_atom_site_label
_atom_site_type_symbol
_atom_site_fract_x
_atom_site_fract_y
_atom_site_fract_z
Eu1 Eu 0.0000 0.0000 0.0000
Tm1 Tm 0.0000 0.0000 0.5000
Pd1 Pd 0.0000 0.0000 0.2399
# ΔE_f ... -252.5 kJ/mol of formula units
# Final energy ... -6.937 eV per atom

---

- Among the records above, which one has the lowest ΔE_f?
  number 1

---

Copy entry 2 word for word.
# PBE EuTmPd2, relaxed
data_EuTmPd2
_chemical_formula_sum 'Eu3 Tm3 Pd6'
_space_group_name_H-M_alt 'R -3 m'
_space_group_IT_number 166
_space_group_name_Hall '-R 3 2"'
_cell_length_a 4.1608
_cell_length_b 4.1608
_cell_length_c 20.1276
_cell_angle_alpha 90.00
_cell_angle_beta 90.00
_cell_angle_gamma 120.00
loop_
_atom_site_label
_atom_site_type_symbol
_atom_site_fract_x
_atom_site_fract_y
_atom_site_fract_z
Eu1 Eu 0.0000 0.0000 0.0000
Tm1 Tm 0.0000 0.0000 0.5000
Pd1 Pd 0.0000 0.0000 0.2399
# ΔE_f ... -252.5 kJ/mol of formula units
# Final energy ... -6.937 eV per atom